No. 1
The following is a DFT calculation (PBE-GGA) of a relaxed ZnInAu3 crystal.

Output
excess energy over the best structure of this formula in the dataset = 286 meV per atom
space-group type = Pm-3m, No. 221

Lattice parameters (Å, degrees): 4.915 4.915 4.915 90.00 90.00 90.00
Atoms (fractional coordinates):
1 Au 0.000 0.500 0.000
2 Zn 0.000 0.000 0.000
3 Au 0.500 0.000 0.000
4 In 0.500 0.500 0.500
5 Au 0.000 0.000 0.500

=====

No. 2
The following is a DFT calculation (PBE-GGA) of a relaxed ZnIn2Au crystal.

Output
space-group type = Imm2, No. 44

Lattice parameters (Å, degrees): 6.013 6.013 6.013 146.75 131.94 59.69
Atoms (fractional coordinates):
1 Au 0.274 0.774 0.500
2 In 0.021 0.021 0.000
3 In 0.731 0.231 0.500
4 Zn 0.474 0.474 0.000

=====

No. 3
The following is a DFT calculation (PBE-GGA) of a relaxed Zn8InAu6 crystal.

Output
space-group type = R-3, No. 148

Lattice parameters (Å, degrees): 7.046 7.046 7.046 65.66 65.66 65.66
Atoms (fractional coordinates):
1 Au 0.942 0.595 0.287
2 Au 0.405 0.713 0.058
3 Zn 0.790 0.447 0.118
4 Zn 0.334 0.334 0.334
5 Au 0.595 0.287 0.942
6 Au 0.287 0.942 0.595
7 In 0.000 0.000 0.000
8 Au 0.058 0.405 0.713
9 Zn 0.666 0.666 0.666
10 Au 0.713 0.058 0.405
11 Zn 0.882 0.210 0.553
12 Zn 0.447 0.118 0.790
13 Zn 0.210 0.553 0.882
14 Zn 0.553 0.882 0.210
15 Zn 0.118 0.790 0.447

=====

No. 4
The following is a DFT calculation (PBE-GGA) of a relaxed Zn3InAu6 crystal.

Output
excess energy over the best structure of this formula in the dataset = 0 meV per atom
space-group type = P2_1/m, No. 11

Lattice parameters (Å, degrees): 4.362 8.493 9.580 100.03 90.00 90.00
Atoms (fractional coordinates):
1 Au 0.250 0.833 0.283
2 Zn 0.250 0.544 0.408
3 Zn 0.250 0.754 0.984
4 Au 0.750 0.736 0.469
5 Au 0.250 0.264 0.531
6 Au 0.250 0.478 0.100
7 Zn 0.250 0.336 0.822
8 Zn 0.750 0.664 0.178
9 Au 0.250 0.056 0.913
10 In 0.250 0.928 0.610
11 Au 0.250 0.173 0.215
12 In 0.750 0.072 0.390
13 Au 0.750 0.522 0.900
14 Zn 0.750 0.456 0.592
15 Au 0.750 0.396 0.293
16 Au 0.250 0.604 0.707
17 Au 0.750 0.944 0.087
18 Au 0.750 0.827 0.785
19 Zn 0.750 0.246 0.016
20 Au 0.750 0.167 0.717

=====

No. 5
The following is a DFT calculation (PBE-GGA) of a relaxed ZnIn2Au crystal.

Output
space-group type = R3m, No. 160

Lattice parameters (Å, degrees): 4.606 4.606 5.741 66.35 66.35 60.00
Atoms (fractional coordinates):
1 Au 0.668 0.668 0.995
2 In 0.072 0.072 0.784
3 In 0.268 0.268 0.196
4 Zn 0.491 0.491 0.526

=====

No. 6
The following is a DFT calculation (PBE-GGA) of a relaxed ZnIn2Au crystal.

Output
space-group type = F-43m, No. 216

Lattice parameters (Å, degrees): 4.967 4.967 4.967 60.00 60.00 60.00
Atoms (fractional coordinates):
1 In 0.250 0.250 0.250
2 In 0.000 0.000 0.000
3 Zn 0.750 0.750 0.750
4 Au 0.500 0.500 0.500

=====

no.,formation energy (meV per atom)
1,223
2,-1
3,-175
4,-164
5,-48
6,42